Density functional theory data (PBE with a Hubbard U) for TmNi2SbO6 after structural relaxation.

Results
Energy in eV per formula unit: -62.28

Cell lengths 5.6931, 5.6931, 5.6931 Å; angles 55.53, 55.53, 55.53 degrees
Atoms (fractional coordinates):
Tm1 0.0000 0.0000 0.0000
Ni1 0.2886 0.2886 0.2886
Ni2 0.7940 0.7940 0.7940
Sb1 0.4903 0.4903 0.4903
O1 0.0990 0.6774 0.4150
O2 0.2132 0.5800 0.8768
O3 0.4150 0.0990 0.6774
O4 0.5800 0.8768 0.2132
O5 0.6774 0.4150 0.0990
O6 0.8768 0.2132 0.5800